Below is a relaxed ZrGa4Pt2 crystal, with properties calculated at the PBE level.

- Space-group type: Pnma, No. 62
- Electronic total energy: -5.366 eV per atom
- N(E_F): 0.4317 states/eV/atom
- Calculated formation energy: -689 meV/atom

Geometry as CIF:
```
data_ZrGa4Pt2
_chemical_formula_sum 'Zr4 Ga16 Pt8'
_cell_length_a 4.197
_cell_length_b 6.694
_cell_length_c 17.008
_cell_angle_alpha 90.00
_cell_angle_beta 90.00
_cell_angle_gamma 90.00
_symmetry_space_group_name_H-M 'P 1'
_symmetry_Int_Tables_number 1
_symmetry_space_group_name_Hall 'P 1'
loop_
_atom_site_label
_atom_site_type_symbol
_atom_site_fract_x
_atom_site_fract_y
_atom_site_fract_z
Pt1 Pt 0.250 0.755 0.535
Pt2 Pt 0.750 0.245 0.465
Pt3 Pt 0.750 0.255 0.965
Pt4 Pt 0.250 0.745 0.035
Pt5 Pt 0.250 0.968 0.784
Pt6 Pt 0.750 0.032 0.216
Pt7 Pt 0.750 0.468 0.716
Pt8 Pt 0.250 0.532 0.284
Ga1 Ga 0.250 0.263 0.689
Ga2 Ga 0.750 0.737 0.311
Ga3 Ga 0.750 0.763 0.811
Ga4 Ga 0.250 0.237 0.189
Ga5 Ga 0.250 0.684 0.683
Ga6 Ga 0.750 0.316 0.317
Ga7 Ga 0.750 0.184 0.817
Ga8 Ga 0.250 0.816 0.183
Ga9 Ga 0.250 0.140 0.539
Ga10 Ga 0.750 0.860 0.461
Ga11 Ga 0.750 0.640 0.961
Ga12 Ga 0.250 0.360 0.039
Ga13 Ga 0.250 0.475 0.433
Ga14 Ga 0.750 0.525 0.567
Ga15 Ga 0.750 0.975 0.067
Ga16 Ga 0.250 0.025 0.933
Zr1 Zr 0.750 0.992 0.641
Zr2 Zr 0.250 0.008 0.359
Zr3 Zr 0.250 0.492 0.859
Zr4 Zr 0.750 0.508 0.141
```



Below is a relaxed PAu2Br crystal, with properties calculated at the PBE level.

- Space-group type: Cmmm, No. 65
- Electronic total energy: -3.160 eV per atom
- N(E_F): 0.2742 states/eV/atom
- E above lowest polymorph: 165 meV per atom
- Formation energy from raw total energies: 96 kJ/mol of formula units

Geometry as CIF:
```
data_PAu2Br
_chemical_formula_sum 'P1 Au2 Br1'
_cell_length_a 3.648
_cell_length_b 5.014
_cell_length_c 5.016
_cell_angle_alpha 67.69
_cell_angle_beta 90.00
_cell_angle_gamma 90.00
_symmetry_space_group_name_H-M 'P 1'
_symmetry_Int_Tables_number 1
_symmetry_space_group_name_Hall 'P 1'
loop_
_atom_site_label
_atom_site_type_symbol
_atom_site_fract_x
_atom_site_fract_y
_atom_site_fract_z
Au1 Au 0.000 0.956 0.956
Au2 Au 0.000 0.544 0.544
Br1 Br 0.500 0.250 0.250
P1 P 0.500 0.750 0.750
```



Below is a relaxed TlCdTeN2 crystal, with properties calculated at the PBE level.

- Space-group type: P4/mmm, No. 123
- Electronic total energy: -3.145 eV per atom
- N(E_F): 0.5923 states/eV/atom
- E above lowest polymorph: 0 meV per atom
- Formation energy from raw total energies: 709 kJ/mol of formula units

Geometry as CIF:
```
data_TlCdTeN2
_chemical_formula_sum 'Tl1 Cd1 Te1 N2'
_cell_length_a 4.523
_cell_length_b 4.523
_cell_length_c 6.230
_cell_angle_alpha 90.00
_cell_angle_beta 90.00
_cell_angle_gamma 90.00
_symmetry_space_group_name_H-M 'P 1'
_symmetry_Int_Tables_number 1
_symmetry_space_group_name_Hall 'P 1'
loop_
_atom_site_label
_atom_site_type_symbol
_atom_site_fract_x
_atom_site_fract_y
_atom_site_fract_z
N1 N 0.000 0.500 0.000
N2 N 0.500 0.000 0.000
Tl1 Tl 0.500 0.500 0.500
Te1 Te 0.000 0.000 0.500
Cd1 Cd 0.000 0.000 0.000
```



Below is a relaxed Np2Al2S7 crystal, with properties calculated at the PBE level.

- Space-group type: C2/m, No. 12
- Electronic total energy: -6.674 eV per atom
- N(E_F): 1.5512 states/eV/atom
- Formation energy from raw total energies: -1076 kJ/mol of formula units

Geometry as CIF:
```
data_Np2Al2S7
_chemical_formula_sum 'Np2 Al2 S7'
_cell_length_a 6.272
_cell_length_b 6.827
_cell_length_c 6.827
_cell_angle_alpha 102.61
_cell_angle_beta 97.00
_cell_angle_gamma 97.00
_symmetry_space_group_name_H-M 'P 1'
_symmetry_Int_Tables_number 1
_symmetry_space_group_name_Hall 'P 1'
loop_
_atom_site_label
_atom_site_type_symbol
_atom_site_fract_x
_atom_site_fract_y
_atom_site_fract_z
Np1 Np 0.000 0.304 0.696
Np2 Np 0.000 0.696 0.304
Al1 Al 0.411 0.233 0.233
Al2 Al 0.589 0.767 0.767
S1 S 0.772 0.922 0.563
S2 S 0.228 0.437 0.078
S3 S 0.228 0.078 0.437
S4 S 0.772 0.563 0.922
S5 S 0.500 0.000 0.000
S6 S 0.255 0.599 0.599
S7 S 0.745 0.401 0.401
```



Below is a relaxed BaLaMo2 crystal, with properties calculated at the PBE level.

- Space-group type: R-3m, No. 166
- Electronic total energy: -5.858 eV per atom
- N(E_F): 1.6633 states/eV/atom
- Calculated formation energy: 1271 meV/atom
- E above lowest polymorph: 786 meV per atom

Geometry as CIF:
```
data_BaLaMo2
_chemical_formula_sum 'Ba1 La1 Mo2'
_cell_length_a 9.963
_cell_length_b 9.963
_cell_length_c 9.963
_cell_angle_alpha 19.66
_cell_angle_beta 19.66
_cell_angle_gamma 19.66
_symmetry_space_group_name_H-M 'P 1'
_symmetry_Int_Tables_number 1
_symmetry_space_group_name_Hall 'P 1'
loop_
_atom_site_label
_atom_site_type_symbol
_atom_site_fract_x
_atom_site_fract_y
_atom_site_fract_z
Ba1 Ba 0.250 0.250 0.250
La1 La 0.750 0.750 0.750
Mo1 Mo 0.011 0.011 0.011
Mo2 Mo 0.489 0.489 0.489
```



Below is a relaxed SnPtO3 crystal, with properties calculated at the PBE level.

- Space-group type: Pm-3m, No. 221
- Electronic total energy: -5.351 eV per atom
- N(E_F): 0.6318 states/eV/atom
- Formation energy from raw total energies: -177 kJ/mol of formula units

Geometry as CIF:
```
data_SnPtO3
_chemical_formula_sum 'Sn1 Pt1 O3'
_cell_length_a 4.013
_cell_length_b 4.013
_cell_length_c 4.013
_cell_angle_alpha 90.00
_cell_angle_beta 90.00
_cell_angle_gamma 90.00
_symmetry_space_group_name_H-M 'P 1'
_symmetry_Int_Tables_number 1
_symmetry_space_group_name_Hall 'P 1'
loop_
_atom_site_label
_atom_site_type_symbol
_atom_site_fract_x
_atom_site_fract_y
_atom_site_fract_z
O1 O 0.000 0.500 0.000
O2 O 0.000 0.000 0.500
O3 O 0.500 0.000 0.000
Sn1 Sn 0.500 0.500 0.500
Pt1 Pt 0.000 0.000 0.000
```